# 1
VASP calculation (PBE) on a geometry-optimized ZrSnIrAu structure.

Summary:
V, Å³/cell: 302.6
Formation energy from the elements, eV per atom: -0.395
Crystal system: cubic

Cell lengths 6.713, 6.713, 6.713 Å; angles 90.00, 90.00, 90.00 degrees
Space group F-43m (No. 216)
Inequivalent atoms, fractional coordinates:
Zr (0.000, 0.000, 0.000) x4
Sn (0.000, 0.000, 0.500) x4
Ir (0.250, 0.250, 0.750) x4
Au (0.250, 0.250, 0.250) x4

***

# 2
VASP calculation (PBE) on a geometry-optimized Sr4IrAu structure.

Summary:
V, Å³/cell: 748.0
Relative energy among the computed polymorphs, eV per atom: 1.179
Formation energy from the elements, eV per atom: 0.812
Crystal system: cubic

Cell lengths 9.078, 9.078, 9.078 Å; angles 90.00, 90.00, 90.00 degrees
Space group F-43m (No. 216)
Inequivalent atoms, fractional coordinates:
Sr (0.124, 0.124, 0.376) x16
Ir (0.250, 0.250, 0.750) x4
Au (0.000, 0.000, 0.000) x4

***

# 3
VASP calculation (PBE) on a geometry-optimized Sr3IrAu structure.

Summary:
V, Å³/cell: 338.2
Relative energy among the computed polymorphs, eV per atom: 0.000
Formation energy from the elements, eV per atom: -0.405
Crystal system: triclinic

Cell lengths 4.482, 8.830, 8.843 Å; angles 86.97, 89.99, 75.40 degrees
Space group P-1 (No. 2)
Inequivalent atoms, fractional coordinates:
Sr (0.062, 0.377, 0.185) x2
Sr (0.239, 0.022, 0.813) x2
Sr (0.395, 0.708, 0.430) x2
Ir (0.227, 0.046, 0.464) x2
Au (0.401, 0.698, 0.068) x2

***

# 4
VASP calculation (PBE) on a geometry-optimized SrIr3Au structure.

Summary:
V, Å³/cell: 122.8
Relative energy among the computed polymorphs, eV per atom: 0.000
Formation energy from the elements, eV per atom: 1.387
Crystal system: cubic

Cell lengths 4.970, 4.970, 4.970 Å; angles 90.00, 90.00, 90.00 degrees
Space group Pm-3m (No. 221)
Inequivalent atoms, fractional coordinates:
Sr (0.000, 0.000, 0.000) x1
Ir (0.000, 0.500, 0.500) x3
Au (0.500, 0.500, 0.500) x1

***

# 5
VASP calculation (PBE) on a geometry-optimized SrIr2Au structure.

Summary:
V, Å³/cell: 220.9
Relative energy among the computed polymorphs, eV per atom: 0.524
Formation energy from the elements, eV per atom: 0.658
Crystal system: trigonal

Cell lengths 2.9613, 2.9613, 29.0853 Å; angles 90.00, 90.00, 120.00 degrees
Space group R-3m (No. 166, hexagonal axes)
Inequivalent atoms, fractional coordinates:
Sr (0.0000, 0.0000, 0.0000) x3
Ir (0.0000, 0.0000, 0.2450) x6
Au (0.0000, 0.0000, 0.5000) x3

***

# 6
VASP calculation (PBE) on a geometry-optimized SrIr2Au structure.

Summary:
V, Å³/cell: 78.4
Relative energy among the computed polymorphs, eV per atom: 0.258
Formation energy from the elements, eV per atom: 0.392
Crystal system: orthorhombic

Cell lengths 2.833, 4.366, 6.338 Å; angles 90.00, 90.00, 90.00 degrees
Space group Pmmm (No. 47)
Inequivalent atoms, fractional coordinates:
Sr (0.000, 0.000, 0.000) x1
Ir (0.500, 0.500, 0.301) x2
Au (0.000, 0.000, 0.500) x1

***

# 7
VASP calculation (PBE) on a geometry-optimized SrIrAu structure.

Summary:
V, Å³/cell: 140.6
Relative energy among the computed polymorphs, eV per atom: 0.230
Formation energy from the elements, eV per atom: 0.020
Crystal system: tetragonal

Cell lengths 3.666, 3.666, 10.461 Å; angles 90.00, 90.00, 90.00 degrees
Space group I4mm (No. 107)
Inequivalent atoms, fractional coordinates:
Sr (0.000, 0.000, 0.000) x2
Ir (0.000, 0.000, 0.713) x2
Au (0.000, 0.000, 0.286) x2

***

# 8
VASP calculation (PBE) on a geometry-optimized SrIr2Au structure.

Summary:
V, Å³/cell: 75.7
Relative energy among the computed polymorphs, eV per atom: 0.361
Formation energy from the elements, eV per atom: 0.495
Crystal system: tetragonal

Cell lengths 2.998, 2.998, 8.425 Å; angles 90.00, 90.00, 90.00 degrees
Space group P4/mmm (No. 123)
Inequivalent atoms, fractional coordinates:
Sr (0.000, 0.000, 0.000) x1
Ir (0.500, 0.500, 0.282) x2
Au (0.000, 0.000, 0.500) x1

***

# 9
VASP calculation (PBE) on a geometry-optimized SrIrAu structure.

Summary:
V, Å³/cell: 63.6
Relative energy among the computed polymorphs, eV per atom: 0.715
Formation energy from the elements, eV per atom: 0.504
Crystal system: trigonal

Cell lengths 3.2005, 3.2005, 7.1733 Å; angles 90.00, 90.00, 120.00 degrees
Space group P3m1 (No. 156)
Inequivalent atoms, fractional coordinates:
Sr (0.0000, 0.0000, 0.0000) x1
Ir (0.3333, 0.6667, 0.6782) x1
Au (0.6667, 0.3333, 0.3684) x1

***

# 10
VASP calculation (PBE) on a geometry-optimized SrIr2Au structure.

Summary:
V, Å³/cell: 152.3
Relative energy among the computed polymorphs, eV per atom: 0.276
Formation energy from the elements, eV per atom: 0.411
Crystal system: tetragonal

Cell lengths 4.312, 4.312, 8.190 Å; angles 90.00, 90.00, 90.00 degrees
Space group I-4m2 (No. 119)
Inequivalent atoms, fractional coordinates:
Sr (0.000, 0.000, 0.000) x2
Ir (0.000, 0.000, 0.500) x2
Ir (0.000, 0.500, 0.250) x2
Au (0.000, 0.500, 0.750) x2

***

# 11
VASP calculation (PBE) on a geometry-optimized SrIr3Au structure.

Summary:
V, Å³/cell: 119.6
Relative energy among the computed polymorphs, eV per atom: 1.385
Formation energy from the elements, eV per atom: 2.772
Crystal system: cubic

Cell lengths 4.927, 4.927, 4.927 Å; angles 90.00, 90.00, 90.00 degrees
Space group Pm-3m (No. 221)
Inequivalent atoms, fractional coordinates:
Sr (0.000, 0.000, 0.000) x1
Ir (0.000, 0.000, 0.500) x3
Au (0.500, 0.500, 0.500) x1

***

# 12
VASP calculation (PBE) on a geometry-optimized SrIr2Au structure.

Summary:
V, Å³/cell: 78.1
Relative energy among the computed polymorphs, eV per atom: 0.147
Formation energy from the elements, eV per atom: 0.282
Crystal system: monoclinic

Cell lengths 2.911, 4.824, 5.652 Å; angles 90.00, 100.33, 90.00 degrees
Space group P2/m (No. 10)
Inequivalent atoms, fractional coordinates:
Sr (0.000, 0.000, 0.000) x1
Ir (0.324, 0.500, 0.699) x2
Au (0.500, 0.000, 0.500) x1